Here is an optimized crystal structure of K2CoCuF6 from the Alexandria database. Energies are from PBE+U.

Computed properties:
V in A^3/atom: 13.79
Energy in Ry per atom: -0.3322

a b c (Å): 5.8222 5.8222 8.1354
angles (deg): 90.00 90.00 90.00
Last column: nearest neighbours and their distance in Å.
Space group I4/mmm (No. 139)
Symmetry-distinct sites (fractional):
1 K 0.0000 0.5000 0.2500 (multiplicity 4)  12 F 2.89-2.91
2 Co 0.0000 0.0000 0.0000 (multiplicity 2)  6 F 2.00-2.11
3 Cu 0.0000 0.0000 0.5000 (multiplicity 2)  6 F 1.96-2.12
4 F 0.0000 0.0000 0.2594 (multiplicity 4)  1 Cu 1.96, 1 Co 2.11
5 F 0.2428 0.2428 0.0000 (multiplicity 8)  1 Co 2.00, 1 Cu 2.12